(1)
VASP calculation (PBE) on crystalline Li2Mg2Ga2NiAg at its relaxed geometry.

Crystal system: tetragonal
Energy in eV per atom: -2.964

abc: 4.372 4.372 6.366
angles: 90.00 90.00 90.00
Atoms (fractional coordinates):
Ni1 0.500 0.500 0.500
Li1 0.000 0.000 0.500
Li2 0.500 0.500 0.000
Mg1 0.500 0.000 0.267
Mg2 0.000 0.500 0.733
Ag1 0.000 0.000 0.000
Ga1 0.500 0.000 0.723
Ga2 0.000 0.500 0.277



(2)
VASP calculation (PBE) on crystalline YNiHgB at its relaxed geometry.

Offset from the most stable computed form in eV/f.u.: 1.113
Crystal system: cubic

abc: 4.591 4.591 4.591
angles: 60.00 60.00 60.00
Atoms (fractional coordinates):
Hg1 0.250 0.250 0.250
B1 0.000 0.000 0.000
Ni1 0.750 0.750 0.750
Y1 0.500 0.500 0.500



(3)
VASP calculation (PBE) on crystalline Na4Zn2SiGe at its relaxed geometry.

Offset from the most stable computed form in eV/f.u.: 0.000
Crystal system: orthorhombic

abc: 5.491 5.869 5.869
angles: 102.22 90.00 90.00
Atoms (fractional coordinates):
Na1 0.000 0.683 0.033
Na2 0.000 0.033 0.683
Na3 0.500 0.317 0.966
Na4 0.500 0.966 0.317
Zn1 0.748 0.502 0.502
Zn2 0.252 0.502 0.502
Ge1 0.000 0.229 0.229
Si1 0.500 0.767 0.767



(4)
VASP calculation (PBE) on crystalline LaIn2CuPt at its relaxed geometry.

Crystal system: tetragonal
Energy in eV per atom: -4.576

abc: 4.582 4.582 10.799
angles: 90.00 90.00 90.00
Atoms (fractional coordinates):
Cu1 0.000 0.000 0.000
Cu2 0.500 0.500 0.000
In1 0.500 0.500 0.500
In2 0.000 0.000 0.500
In3 0.500 0.000 0.115
In4 0.000 0.500 0.885
Pt1 0.500 0.000 0.359
Pt2 0.000 0.500 0.641
La1 0.500 0.000 0.755
La2 0.000 0.500 0.245



(5)
VASP calculation (PBE) on crystalline LiGaCu2 at its relaxed geometry.

Crystal system: orthorhombic
Energy in eV per atom: -3.188

abc: 4.732 6.963 7.126
angles: 90.00 90.00 90.00
Atoms (fractional coordinates):
Li1 0.115 0.750 0.034
Li2 0.385 0.750 0.534
Li3 0.615 0.250 0.466
Li4 0.885 0.250 0.966
Ga1 0.111 0.250 0.625
Ga2 0.389 0.250 0.125
Ga3 0.889 0.750 0.375
Ga4 0.611 0.750 0.875
Cu1 0.919 0.935 0.672
Cu2 0.919 0.565 0.672
Cu3 0.419 0.435 0.828
Cu4 0.081 0.065 0.328
Cu5 0.581 0.565 0.172
Cu6 0.419 0.065 0.828
Cu7 0.581 0.935 0.172
Cu8 0.081 0.435 0.328



(6)
VASP calculation (PBE) on crystalline MgAl2FeCu4 at its relaxed geometry.

Offset from the most stable computed form in eV/f.u.: 0.000
Crystal system: tetragonal

abc: 7.354 7.354 7.354
angles: 132.83 132.83 68.92
Site moments in Bohr magnetons follow the coordinates.
Atoms (fractional coordinates):
Cu1 0.375 0.391 0.516  0.01
Cu2 0.641 0.125 0.016  0.00
Cu3 0.641 0.625 0.516  0.00
Cu4 0.109 0.125 0.484  0.00
Cu5 0.375 0.859 0.984  0.01
Cu6 0.875 0.391 0.016  0.01
Cu7 0.875 0.859 0.484  0.01
Cu8 0.109 0.625 0.984  0.00
Al1 0.745 0.245 0.500  -0.01
Al2 0.005 0.005 0.000  -0.01
Al3 0.495 0.495 0.000  -0.01
Al4 0.255 0.755 0.500  -0.01
Fe1 0.750 0.750 0.000  2.57
Fe2 0.000 0.500 0.500  2.57
Mg1 0.500 0.000 0.500  0.01
Mg2 0.250 0.250 0.000  0.01



(7)
VASP calculation (PBE) on crystalline PrAgGeS3 at its relaxed geometry.

Crystal system: orthorhombic
Energy in eV per atom: -4.879

abc: 6.637 6.637 10.876
angles: 90.00 90.00 34.67
Atoms (fractional coordinates):
Ag1 0.479 0.479 0.250
Ag2 0.521 0.521 0.750
S1 0.351 0.351 0.425
S2 0.649 0.649 0.925
S3 0.351 0.351 0.075
S4 0.649 0.649 0.575
S5 0.891 0.891 0.750
S6 0.109 0.109 0.250
Pr1 0.000 0.000 0.000
Pr2 0.000 0.000 0.500
Ge1 0.236 0.236 0.750
Ge2 0.764 0.764 0.250



(8)
VASP calculation (PBE) on crystalline LiFeB2 at its relaxed geometry.

Crystal system: cubic
Energy in eV per atom: -5.352

abc: 3.470 3.470 3.470
angles: 60.00 60.00 60.00
Atoms (fractional coordinates):
Fe1 0.500 0.500 0.500
B1 0.250 0.250 0.250
B2 0.000 0.000 0.000
Li1 0.750 0.750 0.750



(9)
VASP calculation (PBE) on crystalline Pu3Pt2Pb at its relaxed geometry.

Crystal system: tetragonal
Energy in eV per atom: -10.353

abc: 3.483 3.483 11.782
angles: 90.00 90.00 90.00
Site moments in Bohr magnetons follow the coordinates.
Atoms (fractional coordinates):
Pu1 0.500 0.500 0.701  5.39
Pu2 0.500 0.500 0.299  5.39
Pu3 0.500 0.500 0.000  5.30
Pt1 0.000 0.000 0.849  -0.07
Pt2 0.000 0.000 0.151  -0.07
Pb1 0.000 0.000 0.500  -0.05



(10)
VASP calculation (PBE) on crystalline Y3InSn2Pt3 at its relaxed geometry.

Crystal system: orthorhombic
Energy in eV per atom: -6.437

abc: 3.871 7.665 7.665
angles: 120.09 90.00 90.00
Atoms (fractional coordinates):
In1 0.000 0.263 0.263
Sn1 0.000 0.738 0.001
Sn2 0.000 0.001 0.738
Pt1 0.000 0.334 0.668
Pt2 0.000 0.668 0.334
Pt3 0.500 0.995 0.995
Y1 0.500 0.404 0.003
Y2 0.500 0.003 0.404
Y3 0.500 0.592 0.592



(11)
VASP calculation (PBE) on crystalline TbReW at its relaxed geometry.

Formation energy from the elements in eV/atom: 0.804
Crystal system: cubic

abc: 4.491 4.491 4.491
angles: 60.00 60.00 60.00
Atoms (fractional coordinates):
Re1 0.250 0.250 0.250
Tb1 0.750 0.750 0.750
W1 0.000 0.000 0.000



(12)
VASP calculation (PBE) on crystalline TmScPd at its relaxed geometry.

Offset from the most stable computed form in eV/f.u.: 0.439
Formation energy from the elements in eV/atom: -0.483
Crystal system: cubic

abc: 4.683 4.683 4.683
angles: 60.00 60.00 60.00
Atoms (fractional coordinates):
Pd1 0.000 0.000 0.000
Tm1 0.750 0.750 0.750
Sc1 0.250 0.250 0.250